This record from Alexandria describes a relaxed structure of Rb2CrCoF. The functional is PBE+U.

abc: 6.3856 4.1502 6.3856
angles: 90.00 90.00 90.00
Each line ends with the local moment (μB).
Element x y z (fractional)
Cr  0.5000  0.5000  0.5000  4.47
Co  0.0000  0.5000  0.0000  2.15
Rb  0.0000  0.0000  0.5000  0.01
Rb  0.5000  0.0000  0.0000  0.01
F  0.0000  0.0000  0.0000  0.04

Values from the calculation:
VASP energy   -16.6 eV per formula unit
Total magnetization   1.478 μB/atom
Density of states at the Fermi level   1.77 states/eV/cell